Below is an optimized crystal structure of Pm3Pr3Er8, with properties calculated at the PBE level.

Values from the calculation:
**ρ**: 7.84 Mg/m³
**Calculated total energy**: -63.59 eV/cell

Unit cell a=5.6750 b=9.7443 c=9.7443 alpha=102.72 beta=73.06 gamma=73.06
Fractional coordinates of all 14 atoms:
Pm 0.1985 0.8012 0.8012
Pm 0.5000 0.5000 0.5000
Pm 0.8015 0.1988 0.1988
Er 0.3382 0.8816 0.4421
Er 0.1591 0.2384 0.4430
Er 0.6618 0.5579 0.1184
Er 0.3382 0.4421 0.8816
Er 0.6618 0.1184 0.5579
Er 0.8409 0.7616 0.5570
Er 0.1591 0.4430 0.2384
Er 0.8409 0.5570 0.7616
Pr 0.5000 0.0000 0.0000
Pr 0.0000 0.1877 0.8123
Pr 0.0000 0.8123 0.1877